[1]
# CsK4Na2

CsK4Na2 after structural relaxation (PBE-GGA, Alexandria via LeMat-Bulk).

Summary:
N(E_F): 5.02 states/eV per cell
volume: 84.60 Å³/atom
mass density: 0.9 Mg/m³
total magnetic moment: 0.0 μB per formula unit

abc: 11.3147 11.3147 11.3147
angles: 140.04 140.04 57.79
Last column: nearest neighbours and their distance in Å.
Atoms (fractional coordinates):
1 Cs 0.0000 0.0000 0.0000  4 K 3.87
2 K 0.0000 0.5000 0.5000  2 Cs 3.87, 4 Na 4.22
3 K 0.2252 0.2252 0.0000  1 Na 3.76
4 K 0.5000 0.0000 0.5000  2 Cs 3.87, 4 Na 4.22
5 K 0.7748 0.7748 0.0000  1 Na 3.76
6 Na 0.4150 0.4150 0.0000  1 Na 3.37, 1 K 3.76
7 Na 0.5850 0.5850 0.0000  1 Na 3.37, 1 K 3.76

---

[2]
# CsK4Na5

CsK4Na5 after structural relaxation (PBE-GGA, Alexandria via LeMat-Bulk).

Summary:
N(E_F): 6.01 states/eV per cell
volume: 56.52 Å³/atom
mass density: 1.2 Mg/m³
total magnetic moment: 0.0 μB per formula unit

abc: 4.7854 4.7854 24.6824
angles: 90.00 90.00 90.00
Last column: nearest neighbours and their distance in Å.
Atoms (fractional coordinates):
1 Cs 0.0000 0.0000 0.0000  8 Na 4.50, 4 Cs 4.79
2 K 0.0000 0.0000 0.2109  8 Na 4.06-4.13
3 K 0.0000 0.0000 0.4035  8 Na 4.14
4 K 0.0000 0.0000 0.5965  8 Na 4.14
5 K 0.0000 0.0000 0.7891  8 Na 4.06-4.13
6 Na 0.5000 0.5000 0.1203  4 K 4.06, 4 Cs 4.50
7 Na 0.5000 0.5000 0.3070  8 K 4.13-4.14, 1 Na 4.61
8 Na 0.5000 0.5000 0.5000  8 K 4.14
9 Na 0.5000 0.5000 0.6930  8 K 4.13-4.14, 1 Na 4.61
10 Na 0.5000 0.5000 0.8797  4 K 4.06, 4 Cs 4.50

---

[3]
# Cs3K5Na

Cs3K5Na after structural relaxation (PBE-GGA, Alexandria via LeMat-Bulk).

Summary:
N(E_F): 15.40 states/eV per cell
volume: 81.08 Å³/atom
mass density: 1.4 Mg/m³
total magnetic moment: 0.0 μB per formula unit

abc: 13.6365 13.6365 9.0623
angles: 90.00 90.00 120.00
Last column: nearest neighbours and their distance in Å.
Atoms (fractional coordinates):
1 Cs 0.0000 0.3810 0.2500  9 K 4.58-4.97
2 Cs 0.0000 0.6190 0.7500  9 K 4.58-4.97
3 Cs 0.3810 0.0000 0.2500  9 K 4.58-4.97
4 Cs 0.3810 0.3810 0.7500  9 K 4.58-4.97
5 Cs 0.6190 0.0000 0.7500  9 K 4.58-4.97
6 Cs 0.6190 0.6190 0.2500  9 K 4.58-4.97
7 K 0.0000 0.2545 0.7500  2 Na 4.14, 2 Cs 4.58
8 K 0.0000 0.7455 0.2500  2 Na 4.14, 2 Cs 4.58
9 K 0.2545 0.0000 0.7500  2 Na 4.14, 2 Cs 4.58
10 K 0.2545 0.2545 0.2500  2 Na 4.14, 2 Cs 4.58
11 K 0.3333 0.6667 0.0000  2 K 4.53, 6 Cs 4.82
12 K 0.3333 0.6667 0.5000  2 K 4.53, 6 Cs 4.82
13 K 0.6667 0.3333 0.0000  2 K 4.53, 6 Cs 4.82
14 K 0.6667 0.3333 0.5000  2 K 4.53, 6 Cs 4.82
15 K 0.7455 0.0000 0.2500  2 Na 4.14, 2 Cs 4.58
16 K 0.7455 0.7455 0.7500  2 Na 4.14, 2 Cs 4.58
17 Na 0.0000 0.0000 0.0000  6 K 4.14, 2 Na 4.53
18 Na 0.0000 0.0000 0.5000  6 K 4.14, 2 Na 4.53

---

[4]
# CsKNa3

CsKNa3 after structural relaxation (PBE-GGA, Alexandria via LeMat-Bulk).

Summary:
N(E_F): 5.42 states/eV per cell
volume: 77.48 Å³/atom
mass density: 1.0 Mg/m³
total magnetic moment: 0.0 μB per formula unit

abc: 7.2898 7.2898 7.2898
angles: 90.00 90.00 90.00
Last column: nearest neighbours and their distance in Å.
Atoms (fractional coordinates):
1 Cs 0.0000 0.0000 0.0000  6 Na 3.64
2 K 0.5000 0.5000 0.5000  12 Na 5.15
3 Na 0.0000 0.0000 0.5000  2 Cs 3.64
4 Na 0.0000 0.5000 0.0000  2 Cs 3.64
5 Na 0.5000 0.0000 0.0000  2 Cs 3.64

---

| no. | formation enthalpy at 0 K (eV per atom) |
| --- | --- |
| 1 | 0.23 |
| 2 | 0.03 |
| 3 | 0.03 |
| 4 | 0.37 |